A relaxed AsIrPd2 crystal, computed with PBE.

Summary:
- raw total energy (eV per atom) = -5.8142
- volume (Å³ per cell) = 130.7
- crystal system = tetragonal
- formation enthalpy at 0 K (eV per atom) = 0.160

a b c (Å): 3.725 3.725 9.779
angles (deg): 79.02 79.02 90.00
Fractional positions:
As1 0.500 0.500 0.000
As2 0.250 0.750 0.500
Pd1 0.625 0.125 0.250
Pd2 0.125 0.625 0.250
Pd3 0.375 0.375 0.750
Pd4 0.875 0.875 0.750
Ir1 0.000 0.000 0.000
Ir2 0.750 0.250 0.500

=====

A relaxed Ca2CuRh crystal, computed with PBE.

Summary:
- raw total energy (eV per atom) = -3.9514
- volume (Å³ per cell) = 83.2
- crystal system = tetragonal
- formation enthalpy at 0 K (eV per atom) = -0.089

a b c (Å): 5.548 5.548 5.548
angles (deg): 135.32 135.32 65.04
Fractional positions:
Ca1 0.000 0.000 0.000
Ca2 0.250 0.750 0.500
Rh1 0.750 0.250 0.500
Cu1 0.500 0.500 0.000

=====

Which value of raw total energy does entry 1 give? -5.8142 eV per atom

=====

Among the records above, which one has the highest formation enthalpy at 0 K? AsIrPd2

=====

Which formula does entry 1 have? AsIrPd2